# Sc5GaNi PBE-GGA optimized geometry
data_Sc5GaNi
_chemical_formula_sum 'Sc20 Ga4 Ni4'
_space_group_name_H-M_alt 'C 1 2/c 1'
_space_group_IT_number 15
_space_group_name_Hall '-C 2yc'
_cell_length_a 7.7748
_cell_length_b 6.9190
_cell_length_c 11.1897
_cell_angle_alpha 90.00
_cell_angle_beta 103.66
_cell_angle_gamma 90.00
loop_
_atom_site_label
_atom_site_fract_x
_atom_site_fract_y
_atom_site_fract_z
_atom_site_occupancy
Sc1 0.0000 0.0155 0.2500 1
Sc2 0.1435 0.3438 0.0806 1
Sc3 0.2494 0.3297 0.3775 1
Ga1 0.0000 0.3868 0.7500 1
Ni1 0.0000 0.0000 0.0000 1
# - DOS at the Fermi energy (states/eV/f.u.) = 7.94
# - DFT total energy (eV per atom) = -5.955
# - size of the total moment (Bohr magnetons per cell) = 0.0

=====

# ScGa2Ni2 PBE-GGA optimized geometry
data_ScGa2Ni2
_chemical_formula_sum 'Sc2 Ga4 Ni4'
_space_group_name_H-M_alt 'I 4/m m m'
_space_group_IT_number 139
_space_group_name_Hall '-I 4 2'
_cell_length_a 3.7970
_cell_length_b 3.7970
_cell_length_c 10.6109
_cell_angle_alpha 90.00
_cell_angle_beta 90.00
_cell_angle_gamma 90.00
loop_
_atom_site_label
_atom_site_fract_x
_atom_site_fract_y
_atom_site_fract_z
_atom_site_occupancy
Sc1 0.0000 0.0000 0.0000 1
Ga1 0.0000 0.0000 0.3832 1
Ni1 0.0000 0.5000 0.2500 1
# - DOS at the Fermi energy (states/eV/f.u.) = 3.50
# - DFT total energy (eV per atom) = -5.262
# - size of the total moment (Bohr magnetons per cell) = 0.0

=====

# Sc3Ga9Ni2 PBE-GGA optimized geometry
data_Sc3Ga9Ni2
_chemical_formula_sum 'Sc6 Ga18 Ni4'
_space_group_name_H-M_alt 'I m m m'
_space_group_IT_number 71
_space_group_name_Hall '-I 2 2'
_cell_length_a 4.0362
_cell_length_b 9.6858
_cell_length_c 11.7697
_cell_angle_alpha 90.00
_cell_angle_beta 90.00
_cell_angle_gamma 90.00
loop_
_atom_site_label
_atom_site_fract_x
_atom_site_fract_y
_atom_site_fract_z
_atom_site_occupancy
Sc1 0.0000 0.0000 0.0000 1
Sc2 0.0000 0.0000 0.3134 1
Ga1 0.0000 0.2858 0.1313 1
Ga2 0.0000 0.3718 0.3463 1
Ga3 0.0000 0.5000 0.0000 1
Ni1 0.0000 0.1981 0.5000 1
# - DOS at the Fermi energy (states/eV/f.u.) = 5.50
# - DFT total energy (eV per atom) = -4.625
# - size of the total moment (Bohr magnetons per cell) = 0.0

=====

# ScGa2Ni PBE-GGA optimized geometry
data_ScGa2Ni
_chemical_formula_sum 'Sc3 Ga6 Ni3'
_space_group_name_H-M_alt 'R -3 m'
_space_group_IT_number 166
_space_group_name_Hall '-R 3 2"'
_cell_length_a 4.0563
_cell_length_b 4.0563
_cell_length_c 13.8844
_cell_angle_alpha 90.00
_cell_angle_beta 90.00
_cell_angle_gamma 120.00
loop_
_atom_site_label
_atom_site_fract_x
_atom_site_fract_y
_atom_site_fract_z
_atom_site_occupancy
Sc1 0.0000 0.0000 0.0000 1
Ga1 0.0000 0.0000 0.2191 1
Ni1 0.0000 0.0000 0.5000 1
# - DOS at the Fermi energy (states/eV/f.u.) = 2.92
# - DFT total energy (eV per atom) = -5.041
# - size of the total moment (Bohr magnetons per cell) = 0.0

=====

# ScGa3Ni3 PBE-GGA optimized geometry
data_ScGa3Ni3
_chemical_formula_sum 'Sc2 Ga6 Ni6'
_space_group_name_H-M_alt 'P m -3 n'
_space_group_IT_number 223
_space_group_name_Hall '-P 4n 2 3'
_cell_length_a 6.3912
_cell_length_b 6.3912
_cell_length_c 6.3912
_cell_angle_alpha 90.00
_cell_angle_beta 90.00
_cell_angle_gamma 90.00
loop_
_atom_site_label
_atom_site_fract_x
_atom_site_fract_y
_atom_site_fract_z
_atom_site_occupancy
Sc1 0.0000 0.0000 0.0000 1
Ga1 0.0000 0.2500 0.5000 1
Ni1 0.0000 0.5000 0.2500 1
# - DOS at the Fermi energy (states/eV/f.u.) = 6.15
# - DFT total energy (eV per atom) = -4.546
# - size of the total moment (Bohr magnetons per cell) = 0.0

=====

# Sc2GaSi3Ni4 PBE-GGA optimized geometry
data_Sc2GaSi3Ni4
_chemical_formula_sum 'Sc2 Ga1 Si3 Ni4'
_space_group_name_H-M_alt 'P -4 m 2'
_space_group_IT_number 115
_space_group_name_Hall 'P -4 -2'
_cell_length_a 3.8510
_cell_length_b 3.8510
_cell_length_c 9.6140
_cell_angle_alpha 90.00
_cell_angle_beta 90.00
_cell_angle_gamma 90.00
loop_
_atom_site_label
_atom_site_fract_x
_atom_site_fract_y
_atom_site_fract_z
_atom_site_occupancy
Sc1 0.0000 0.5000 0.2476 1
Ga1 0.0000 0.0000 0.5000 1
Si1 0.0000 0.5000 0.8696 1
Si2 0.5000 0.5000 0.5000 1
Ni1 0.0000 0.0000 0.0000 1
Ni2 0.0000 0.5000 0.6400 1
Ni3 0.5000 0.5000 0.0000 1
# - DOS at the Fermi energy (states/eV/f.u.) = 6.13
# - ΔE_f (raw) (eV per atom) = -0.729
# - DFT total energy (eV per atom) = -6.238
# - size of the total moment (Bohr magnetons per cell) = 0.0